12
Lattice="4.1440 0.0000 0.0000 0.0000 6.2902 0.0000 0.0000 0.0000 11.6091" Properties=species:S:1:pos:R:3 comment="SrMgNi, optimized geometry, DFT PBE-GGA" space_group="Immm, No. 71" formation_enthalpy_0k_ev_per_atom=-0.063 pbc="T T T"
Sr 0.0000 0.0000 2.3571
Sr 0.0000 0.0000 9.2520
Sr 2.0720 3.1451 3.4475
Sr 2.0720 3.1451 8.1617
Mg 0.0000 1.4103 5.8046
Mg 0.0000 4.8799 5.8046
Mg 2.0720 1.7348 0.0000
Mg 2.0720 4.5554 0.0000
Ni 0.0000 3.1451 1.1387
Ni 0.0000 3.1451 10.4704
Ni 2.0720 0.0000 4.6658
Ni 2.0720 0.0000 6.9433